Run w
Material: La2AgCl
Method: DFT, SCAN
State: single point on PBEsol structure

```
4
Lattice="5.441 0.000 0.000 0.000 5.441 0.000 0.000 0.000 3.333" Properties=species:S:1:pos:R:3 pbc="T T T"
La 0.000 2.721 0.000
La 2.721 0.000 0.000
Ag 0.000 0.000 1.666
Cl 2.721 2.721 1.666
```

Fermi-level density of states = 0.80 states/eV/atom

=====

Run x
Material: La2AgCl
Method: DFT, SCAN
State: single point on PBEsol structure

```
4
Lattice="3.777 -2.183 0.000 3.777 2.183 0.000 -2.523 0.000 6.569" Properties=species:S:1:pos:R:3 pbc="T T T"
La 1.257 0.000 1.513
La 3.773 0.000 5.056
Ag -1.262 0.000 3.284
Cl 3.777 0.000 0.000
```

Fermi-level density of states = 0.64 states/eV/atom

=====

Run y
Material: La2AgCl
Method: DFT, SCAN
State: single point on PBEsol structure

```
4
Lattice="-2.380 2.884 3.715 2.380 -2.884 3.715 2.380 2.884 -3.715" Properties=species:S:1:pos:R:3 pbc="T T T"
La 0.000 0.000 1.774
La 0.000 0.000 5.655
Ag 0.000 2.884 0.000
Cl 2.380 0.000 0.000
```

Fermi-level density of states = 1.03 states/eV/atom

=====

Run z
Material: La2AgCl
Method: DFT, SCAN
State: single point on PBEsol structure

```
4
Lattice="4.201 0.000 0.000 0.000 4.201 0.000 0.000 0.000 6.165" Properties=species:S:1:pos:R:3 pbc="T T T"
La 0.000 0.000 0.000
La 2.101 2.101 3.083
Ag 0.000 0.000 3.083
Cl 2.101 2.101 0.000
```

Fermi-level density of states = 0.51 states/eV/atom

=====

Quick one: most stable of them? run z

=====

Run w
Material: AgMoCl2
Method: DFT, SCAN
State: single point on PBEsol structure

```
4
Lattice="2.990 0.000 0.000 0.000 2.990 0.000 0.000 0.000 7.812" Properties=species:S:1:pos:R:3 pbc="T T T"
Ag 0.000 0.000 0.000
Mo 1.495 1.495 5.889
Cl 0.000 0.000 4.487
Cl 1.495 1.495 1.660
```

Fermi-level density of states = 0.64 states/eV/atom

=====

Run x
Material: AgMoCl2
Method: DFT, SCAN
State: single point on PBEsol structure

```
4
Lattice="5.146 -1.458 0.000 5.146 1.458 0.000 -2.755 0.000 5.880" Properties=species:S:1:pos:R:3 pbc="T T T"
Ag 0.000 0.000 0.000
Mo 7.577 0.000 0.000
Cl -0.200 0.000 4.008
Cl 2.560 0.000 1.872
```

Fermi-level density of states = 0.39 states/eV/atom

=====

Quick one: most stable of them? run x